No. 1
First-principles (PBE) data for a relaxed structure of MgHgW4, as listed in Alexandria via LeMat-Bulk.

abc: 7.615 7.615 7.615
angles: 90.00 90.00 90.00
Space group F-43m (No. 216)
Asymmetric unit:
Mg 0.000 0.000 0.000 (multiplicity 4)
Hg 0.250 0.250 0.250 (multiplicity 4)
W 0.125 0.125 0.625 (multiplicity 16)

Computed properties:
Crystal system: cubic
E (eV per cell): -198.33

No. 2
First-principles (PBE) data for a relaxed structure of MgHgW3, as listed in Alexandria via LeMat-Bulk.

abc: 4.954 4.954 4.954
angles: 90.00 90.00 90.00
Space group Pm-3m (No. 221)
Asymmetric unit:
Mg 0.000 0.000 0.000 (multiplicity 1)
Hg 0.500 0.500 0.500 (multiplicity 1)
W 0.000 0.500 0.500 (multiplicity 3)

Computed properties:
Crystal system: cubic
E (eV per cell): -26.33
Offset from the most stable computed form (meV/atom): 396.8